Entry from Alexandria: a geometry-optimized Sm8GePb5 structure (GGA-PBE).

The structure in POSCAR format:
```
Sm8GePb5
1.0
-4.979 -1.267 6.444
-2.960 -3.940 -6.606
7.518 -2.860 1.794
Pb Sm Ge
5 8 1
direct
0.500 0.000 0.500
0.377 0.127 0.005
0.878 0.873 0.249
0.995 0.371 0.122
0.751 0.629 0.623
0.998 0.126 0.737
0.611 0.874 0.872
0.127 0.747 0.519
0.771 0.253 0.380
0.263 0.260 0.389
0.481 0.609 0.229
0.128 0.740 0.002
0.620 0.391 0.873
0.250 0.500 0.750
```

Output
* formation energy: -0.606 eV per atom
* theoretical density: 8.908 Mg/m³
* total magnetic moment: 0.00 μB per formula unit
* symmetry: I-4 (82)